# LaCrF3 PBE with a Hubbard U relaxed
data_LaCrF3
_chemical_formula_sum 'La1 Cr1 F3'
_space_group_name_H-M_alt 'P 1'
_space_group_IT_number 1
_cell_length_a 4.179
_cell_length_b 4.179
_cell_length_c 4.179
_cell_angle_alpha 90.00
_cell_angle_beta 90.00
_cell_angle_gamma 90.00
loop_
_space_group_symop_operation_xyz
'x,y,z'
loop_
_atom_site_label
_atom_site_fract_x
_atom_site_fract_y
_atom_site_fract_z
Cr1 0.000 0.000 0.000
F1 0.000 0.500 0.000
F2 0.000 0.000 0.500
F3 0.500 0.000 0.000
La1 0.500 0.500 0.500
# SG = Pm-3m, No. 221
# calculated total energy = -5.314 eV/atom
# energy above the most stable polymorph in this dataset = 197.3 kJ/mol of formula units